# 1
VAsRhPb2 (GGA-PBE, relaxed); symmetry = P4/mmm; DFT formation energy = 1.06 eV per atom; calculated total energy = -4.64 eV per atom
1.0
5.525 0.000 0.000
0.000 5.525 0.000
0.000 0.000 4.513
V As Rh Pb
1 1 1 2
Direct
0.000 0.000 0.000
0.500 0.500 0.500
0.500 0.500 0.000
0.000 0.500 0.500
0.500 0.000 0.500

***

# 2
AsRuPb (GGA-PBE, relaxed); energy relative to the lowest polymorph listed for this composition = 0.321 eV/atom; symmetry = P-6m2; DFT formation energy = 0.20 eV per atom; calculated total energy = -5.68 eV per atom
1.0
4.137 0.000 0.000
-2.069 3.583 0.000
0.000 0.000 4.620
As Ru Pb
1 1 1
Direct
0.000 0.000 0.000
0.333 0.667 0.000
0.667 0.333 0.500

***

# 3
AsRuPb3 (GGA-PBE, relaxed); energy relative to the lowest polymorph listed for this composition = 0.859 eV/atom; symmetry = Pm-3m; DFT formation energy = 1.21 eV per atom; calculated total energy = -3.80 eV per atom
1.0
5.508 0.000 0.000
0.000 5.508 0.000
0.000 0.000 5.508
As Ru Pb
1 1 3
Direct
0.000 0.000 0.000
0.500 0.500 0.500
0.000 0.000 0.500
0.000 0.500 0.000
0.500 0.000 0.000

***

# 4
AsRuPb (GGA-PBE, relaxed); energy relative to the lowest polymorph listed for this composition = 0.124 eV/atom; symmetry = I4mm; DFT formation energy = 0.00 eV per atom; calculated total energy = -5.88 eV per atom
1.0
-1.561 1.561 6.450
1.561 -1.561 6.450
1.561 1.561 -6.450
As Ru Pb
1 1 1
Direct
0.000 0.000 0.000
0.404 0.404 0.000
0.735 0.735 0.000

***

# 5
As2Ru2Pb (GGA-PBE, relaxed); energy relative to the lowest polymorph listed for this composition = 0.000 eV/atom; symmetry = I4/mmm; DFT formation energy = -0.12 eV per atom; calculated total energy = -6.44 eV per atom
1.0
-2.158 2.158 5.071
2.158 -2.158 5.071
2.158 2.158 -5.071
As Ru Pb
2 2 1
Direct
0.134 0.134 0.000
0.866 0.866 0.000
0.250 0.750 0.500
0.750 0.250 0.500
0.500 0.500 0.000

***

# 6
As2RuPb2 (GGA-PBE, relaxed); symmetry = P4/mbm; DFT formation energy = 0.01 eV per atom; calculated total energy = -5.19 eV per atom
1.0
6.415 0.000 0.000
0.000 6.415 0.000
0.000 0.000 5.498
As Ru Pb
4 2 4
Direct
0.139 0.361 0.000
0.361 0.861 0.000
0.639 0.139 0.000
0.861 0.639 0.000
0.000 0.000 0.000
0.500 0.500 0.000
0.183 0.683 0.500
0.317 0.183 0.500
0.683 0.817 0.500
0.817 0.317 0.500

***

# 7
AsRu3Pb (GGA-PBE, relaxed); energy relative to the lowest polymorph listed for this composition = 0.000 eV/atom; symmetry = Pm-3m; DFT formation energy = 0.77 eV per atom; calculated total energy = -6.47 eV per atom
1.0
4.571 0.000 0.000
0.000 4.571 0.000
0.000 0.000 4.571
As Ru Pb
1 3 1
Direct
0.000 0.000 0.000
0.000 0.000 0.500
0.000 0.500 0.000
0.500 0.000 0.000
0.500 0.500 0.500

***

# 8
AsRu3Pb (GGA-PBE, relaxed); energy relative to the lowest polymorph listed for this composition = 1.448 eV/atom; symmetry = Pm-3m; DFT formation energy = 2.21 eV per atom; calculated total energy = -5.02 eV per atom
1.0
4.985 0.000 0.000
0.000 4.985 0.000
0.000 0.000 4.985
As Ru Pb
1 3 1
Direct
0.000 0.000 0.000
0.000 0.500 0.500
0.500 0.000 0.500
0.500 0.500 0.000
0.500 0.500 0.500

***

# 9
As2Ru2Pb (GGA-PBE, relaxed); energy relative to the lowest polymorph listed for this composition = 0.245 eV/atom; symmetry = I4/mmm; DFT formation energy = 0.12 eV per atom; calculated total energy = -6.19 eV per atom
1.0
-1.987 1.987 6.003
1.987 -1.987 6.003
1.987 1.987 -6.003
As Ru Pb
2 2 1
Direct
0.250 0.750 0.500
0.750 0.250 0.500
0.128 0.128 0.000
0.872 0.872 0.000
0.500 0.500 0.000

***

# 10
AsRuPb3 (GGA-PBE, relaxed); energy relative to the lowest polymorph listed for this composition = 0.000 eV/atom; symmetry = Pm-3m; DFT formation energy = 0.35 eV per atom; calculated total energy = -4.66 eV per atom
1.0
5.237 0.000 0.000
0.000 5.237 0.000
0.000 0.000 5.237
As Ru Pb
1 1 3
Direct
0.000 0.000 0.000
0.500 0.500 0.500
0.000 0.500 0.500
0.500 0.000 0.500
0.500 0.500 0.000

***

# 11
AsRuPb (GGA-PBE, relaxed); energy relative to the lowest polymorph listed for this composition = 0.204 eV/atom; symmetry = P3m1; DFT formation energy = 0.08 eV per atom; calculated total energy = -5.80 eV per atom
1.0
3.384 0.000 0.000
-1.692 2.930 0.000
0.000 0.000 6.244
As Ru Pb
1 1 1
Direct
0.000 0.000 0.000
0.333 0.667 0.766
0.667 0.333 0.417

***

# 12
AsRuPb4 (GGA-PBE, relaxed); symmetry = F-43m; DFT formation energy = 0.93 eV per atom; calculated total energy = -3.87 eV per atom
1.0
0.000 4.412 4.412
4.412 0.000 4.412
4.412 4.412 0.000
As Ru Pb
1 1 4
Direct
0.000 0.000 0.000
0.250 0.250 0.250
0.126 0.625 0.625
0.625 0.126 0.625
0.625 0.625 0.126
0.625 0.625 0.625

***

# 13
AsRuPb (GGA-PBE, relaxed); energy relative to the lowest polymorph listed for this composition = 0.390 eV/atom; symmetry = F-43m; DFT formation energy = 0.27 eV per atom; calculated total energy = -5.61 eV per atom
1.0
0.000 3.171 3.171
3.171 0.000 3.171
3.171 3.171 0.000
As Ru Pb
1 1 1
Direct
0.000 0.000 0.000
0.250 0.250 0.250
0.500 0.500 0.500

***

# 14
AsRuPb (GGA-PBE, relaxed); energy relative to the lowest polymorph listed for this composition = 0.000 eV/atom; symmetry = P4/nmm; DFT formation energy = -0.12 eV per atom; calculated total energy = -6.00 eV per atom
1.0
4.261 0.000 0.000
0.000 4.261 0.000
0.000 0.000 7.282
As Ru Pb
2 2 2
Direct
0.250 0.250 0.178
0.750 0.750 0.822
0.250 0.750 0.000
0.750 0.250 0.000
0.250 0.250 0.679
0.750 0.750 0.321

***

# 15
As2Ru2Pb (GGA-PBE, relaxed); energy relative to the lowest polymorph listed for this composition = 0.242 eV/atom; symmetry = P4/mbm; DFT formation energy = 0.12 eV per atom; calculated total energy = -6.19 eV per atom
1.0
7.646 0.000 0.000
0.000 7.646 0.000
0.000 0.000 3.029
As Ru Pb
4 4 2
Direct
0.139 0.361 0.000
0.361 0.861 0.000
0.639 0.139 0.000
0.861 0.639 0.000
0.137 0.637 0.500
0.363 0.137 0.500
0.637 0.863 0.500
0.863 0.363 0.500
0.000 0.000 0.500
0.500 0.500 0.500

***

# 16
As2RuPbSe (GGA-PBE, relaxed); energy relative to the lowest polymorph listed for this composition = 0.000 eV/atom; formation energy from raw total energies = 0.2095 eV per atom; symmetry = P4/mmm; calculated total energy = -4.94 eV per atom
1.0
4.684 0.000 0.000
0.000 4.684 0.000
0.000 0.000 5.574
As Ru Pb Se
2 1 1 1
Direct
0.000 0.500 0.000
0.500 0.000 0.000
0.000 0.000 0.000
0.500 0.500 0.500
0.000 0.000 0.500

***

# 17
Si2AsRuPb (GGA-PBE, relaxed); formation energy from raw total energies = 0.3728 eV per atom; symmetry = P4/mmm; calculated total energy = -5.32 eV per atom
1.0
4.560 0.000 0.000
0.000 4.560 0.000
0.000 0.000 5.442
Si As Ru Pb
2 1 1 1
Direct
0.000 0.500 0.000
0.500 0.000 0.000
0.000 0.000 0.500
0.500 0.500 0.000
0.500 0.500 0.500

***

# 18
SrAsRu2Pb (GGA-PBE, relaxed); symmetry = P4/mmm; DFT formation energy = 0.42 eV per atom; calculated total energy = -5.30 eV per atom
1.0
4.701 0.000 0.000
0.000 4.701 0.000
0.000 0.000 5.516
Sr As Ru Pb
1 1 2 1
Direct
0.000 0.000 0.000
0.500 0.500 0.500
0.000 0.500 0.500
0.500 0.000 0.500
0.500 0.500 0.000

***

# 19
Ti2AsRuPb (GGA-PBE, relaxed); symmetry = P4/mmm; DFT formation energy = 1.48 eV per atom; calculated total energy = -5.20 eV per atom
1.0
5.098 0.000 0.000
0.000 5.098 0.000
0.000 0.000 4.941
Ti As Ru Pb
2 1 1 1
Direct
0.000 0.500 0.000
0.500 0.000 0.000
0.000 0.000 0.500
0.500 0.500 0.500
0.500 0.500 0.000

***

# 20
As2PbS4 (GGA-PBE, relaxed); energy relative to the lowest polymorph listed for this composition = 0.000 eV/atom; formation energy from raw total energies = -0.2223 eV per atom; symmetry = Pnma; calculated total energy = -4.44 eV per atom
1.0
9.463 0.000 0.000
0.000 3.761 0.000
0.000 0.000 18.547
As Pb S
8 4 16
Direct
0.000 0.250 0.117
0.000 0.750 0.883
0.162 0.250 0.507
0.338 0.750 0.007
0.500 0.250 0.383
0.500 0.750 0.617
0.662 0.250 0.993
0.838 0.750 0.493
0.159 0.750 0.314
0.341 0.250 0.814
0.659 0.750 0.186
0.841 0.250 0.686
0.009 0.750 0.582
0.125 0.750 0.778
0.153 0.750 0.146
0.194 0.250 0.954
0.306 0.750 0.454
0.347 0.250 0.646
0.375 0.250 0.278
0.491 0.250 0.082
0.509 0.750 0.918
0.625 0.750 0.722
0.653 0.750 0.354
0.694 0.250 0.546
0.806 0.750 0.046
0.847 0.250 0.854
0.875 0.250 0.222
0.991 0.250 0.418

***

# 21
AsPb2S (GGA-PBE, relaxed); energy relative to the lowest polymorph listed for this composition = 0.176 eV/atom; formation energy from raw total energies = 0.0188 eV per atom; symmetry = Fm-3m; calculated total energy = -4.03 eV per atom
1.0
0.000 3.673 3.673
3.673 0.000 3.673
3.673 3.673 0.000
As Pb S
1 2 1
Direct
0.000 0.000 0.000
0.250 0.250 0.250
0.750 0.750 0.750
0.500 0.500 0.500

***

# 22
AsPbS2 (GGA-PBE, relaxed); energy relative to the lowest polymorph listed for this composition = 0.045 eV/atom; formation energy from raw total energies = -0.2486 eV per atom; symmetry = P1; calculated total energy = -4.40 eV per atom
1.0
4.243 0.000 0.000
0.256 7.524 0.000
1.781 0.054 7.611
As Pb S
2 2 4
Direct
0.000 0.000 0.000
0.305 0.271 0.077
0.399 0.484 0.548
0.924 0.968 0.533
0.320 0.859 0.768
0.505 0.187 0.315
0.776 0.234 0.860
0.969 0.640 0.379

***

# 23
As4Pb9S15 (GGA-PBE, relaxed); energy relative to the lowest polymorph listed for this composition = 0.078 eV/atom; formation energy from raw total energies = -0.3146 eV per atom; symmetry = R3m; calculated total energy = -4.38 eV per atom
1.0
9.059 5.230 2.829
-9.059 5.230 2.829
0.000 -10.460 2.829
As Pb S
4 9 15
Direct
0.000 0.000 0.000
0.095 0.477 0.477
0.477 0.095 0.477
0.477 0.477 0.095
0.005 0.244 0.763
0.005 0.763 0.244
0.244 0.005 0.763
0.244 0.763 0.005
0.433 0.433 0.722
0.433 0.722 0.433
0.722 0.433 0.433
0.763 0.005 0.244
0.763 0.244 0.005
0.009 0.815 0.815
0.011 0.449 0.638
0.011 0.638 0.449
0.097 0.097 0.575
0.097 0.575 0.097
0.388 0.668 0.668
0.449 0.011 0.638
0.449 0.638 0.011
0.575 0.097 0.097
0.638 0.011 0.449
0.638 0.449 0.011
0.668 0.388 0.668
0.668 0.668 0.388
0.815 0.009 0.815
0.815 0.815 0.009

***

# 24
AsPbS2 (GGA-PBE, relaxed); energy relative to the lowest polymorph listed for this composition = 0.200 eV/atom; formation energy from raw total energies = -0.0934 eV per atom; symmetry = R-3m; calculated total energy = -4.25 eV per atom
1.0
1.816 1.049 8.639
-1.816 1.049 8.639
0.000 -2.097 8.639
As Pb S
1 1 2
Direct
0.000 0.000 0.000
0.500 0.500 0.500
0.389 0.389 0.389
0.611 0.611 0.611

***

# 25
AsPb3S6 (GGA-PBE, relaxed); formation energy from raw total energies = -0.2392 eV per atom; symmetry = Cmc2_1; calculated total energy = -4.29 eV per atom
1.0
5.962 -7.767 0.000
5.962 7.767 0.000
0.000 0.000 6.127
As Pb S
2 6 12
Direct
0.199 0.801 0.500
0.801 0.199 0.000
0.082 0.298 0.573
0.298 0.082 0.073
0.397 0.603 0.087
0.603 0.397 0.587
0.702 0.918 0.573
0.918 0.702 0.073
0.063 0.937 0.388
0.105 0.590 0.359
0.215 0.785 0.850
0.334 0.347 0.818
0.347 0.334 0.318
0.410 0.895 0.359
0.590 0.105 0.859
0.653 0.666 0.818
0.666 0.653 0.318
0.785 0.215 0.350
0.895 0.410 0.859
0.937 0.063 0.888